[1]
This record from Alexandria via LeMat-Bulk describes a crystal of NdSi2Ir2 relaxed with PBEsol. The functional is meta-GGA SCAN.

```
data_NdSi2Ir2
_chemical_formula_sum 'Nd2 Si4 Ir4'
_space_group_name_H-M_alt 'I 4/m m m'
_space_group_IT_number 139
_space_group_name_Hall '-I 4 2'
_cell_length_a 4.0719
_cell_length_b 4.0719
_cell_length_c 10.0910
_cell_angle_alpha 90.00
_cell_angle_beta 90.00
_cell_angle_gamma 90.00
loop_
_atom_site_label
_atom_site_type_symbol
_atom_site_fract_x
_atom_site_fract_y
_atom_site_fract_z
_atom_site_occupancy
Nd1 Nd 0.0000 0.0000 0.0000 1
Si1 Si 0.0000 0.0000 0.3765 1
Ir1 Ir 0.0000 0.5000 0.2500 1
```

Output
DOS at the Fermi energy = 3.343 states/eV per cell
mass density = 11.61 Mg/m³
size of the total moment = 0.000 μB per atom

=====

[2]
This record from Alexandria via LeMat-Bulk describes a crystal of NdSi3Ir relaxed with PBEsol. The functional is meta-GGA SCAN.

```
data_NdSi3Ir
_chemical_formula_sum 'Nd2 Si6 Ir2'
_space_group_name_H-M_alt 'I 4 m m'
_space_group_IT_number 107
_space_group_name_Hall 'I 4 -2'
_cell_length_a 4.2183
_cell_length_b 4.2183
_cell_length_c 9.7712
_cell_angle_alpha 90.00
_cell_angle_beta 90.00
_cell_angle_gamma 90.00
loop_
_atom_site_label
_atom_site_type_symbol
_atom_site_fract_x
_atom_site_fract_y
_atom_site_fract_z
_atom_site_occupancy
Nd1 Nd 0.0000 0.0000 0.0000 1
Si1 Si 0.0000 0.0000 0.5853 1
Si2 Si 0.0000 0.5000 0.2353 1
Ir1 Ir 0.0000 0.0000 0.3452 1
```

Output
DOS at the Fermi energy = 2.616 states/eV per cell
mass density = 8.04 Mg/m³
size of the total moment = 0.000 μB per atom

=====

[3]
This record from Alexandria via LeMat-Bulk describes a crystal of NdSmIr2 relaxed with PBEsol. The functional is meta-GGA SCAN.

```
data_NdSmIr2
_chemical_formula_sum 'Nd4 Sm4 Ir8'
_space_group_name_H-M_alt 'F m -3 m'
_space_group_IT_number 225
_space_group_name_Hall '-F 4 2 3'
_cell_length_a 6.9446
_cell_length_b 6.9446
_cell_length_c 6.9446
_cell_angle_alpha 90.00
_cell_angle_beta 90.00
_cell_angle_gamma 90.00
loop_
_atom_site_label
_atom_site_type_symbol
_atom_site_fract_x
_atom_site_fract_y
_atom_site_fract_z
_atom_site_occupancy
Nd1 Nd 0.0000 0.0000 0.0000 1
Sm1 Sm 0.0000 0.0000 0.5000 1
Ir1 Ir 0.2500 0.2500 0.2500 1
```

Output
DOS at the Fermi energy = 8.243 states/eV per cell
ΔE_f = -0.73 eV per atom
mass density = 13.47 Mg/m³
size of the total moment = 0.002 μB per atom

=====

no.,energy (eV per atom)
1,-42.36
2,-29.85
3,-58.28